Material: CeNi3P2
Method: DFT, PBE
State: optimized geometry

Output
Symmetry: No. 12
Total moment (μB/cell): 0.00
DFT total energy (Ry/atom): -0.482
Formation enthalpy at 0 K (eV per atom): -0.87

Unit cell a=7.436 b=7.436 c=6.853 alpha=114.03 beta=114.03 gamma=29.46
Fractional positions:
Ce: 0.152 0.152 0.070
Ce: 0.848 0.848 0.930
Ni: 0.042 0.042 0.368
Ni: 0.316 0.316 0.563
Ni: 0.402 0.402 0.316
Ni: 0.598 0.598 0.684
Ni: 0.684 0.684 0.437
Ni: 0.958 0.958 0.632
P: 0.187 0.187 0.672
P: 0.481 0.481 0.819
P: 0.519 0.519 0.181
P: 0.813 0.813 0.328